MgTa2Cu: optimized geometry, GGA-PBE.

abc: 2.831 2.831 8.496
angles: 90.00 90.00 90.00
Sites, in units of the cell vectors:
Cu (0.000, 0.000, 0.499)
Mg (0.500, 0.500, 0.721)
Ta (0.000, 0.000, 0.004)
Ta (0.500, 0.500, 0.276)

Values from the calculation:
VASP energy in eV/atom: -7.240
Magnetization in μB/cell: 0.00
ρ in g cm⁻³: 10.97
Formation energy from the elements in eV/atom: 0.11
Density of states at the Fermi level in states/eV per cell: 2.9